No. 1
WI3Br: optimized geometry, GGA-PBE.

Properties
Calculated volume   203.6 Å³/cell
ΔE_f (raw)   1.63 eV per atom
ΔE to the lowest computed polymorph   1181 meV per atom

Cell lengths 5.883, 5.883, 5.883 Å; angles 90.00, 90.00, 90.00 degrees
Space group Pm-3m (No. 221)
Asymmetric unit:
W1 0.000 0.000 0.000 x1
I1 0.000 0.500 0.500 x3
Br1 0.500 0.500 0.500 x1

No. 2
InHgSb2: optimized geometry, GGA-PBE.

Properties
Calculated volume   233.3 Å³/cell
ΔE_f (raw)   0.09 eV per atom
ΔE to the lowest computed polymorph   49 meV per atom

Cell lengths 4.060, 5.097, 11.275 Å; angles 90.00, 90.00, 90.00 degrees
Space group Imm2 (No. 44)
Asymmetric unit:
In1 0.000 0.000 0.000 x2
Hg1 0.000 0.500 0.206 x2
Sb1 0.000 0.000 0.457 x2
Sb2 0.000 0.500 0.768 x2

No. 3
Pr3NdY6Tm2: optimized geometry, GGA-PBE.

Properties
Calculated volume   791.6 Å³/cell
Energy relative to the elements   0.0186 eV/atom

Cell lengths 6.246, 10.815, 11.902 Å; angles 90.00, 100.05, 90.00 degrees
Space group C2/m (No. 12)
Asymmetric unit:
Pr1 0.000 0.000 0.000 x2
Pr2 0.000 0.333 0.000 x4
Nd1 0.000 0.500 0.500 x2
Y1 0.248 0.000 0.746 x4
Y2 0.249 0.333 0.746 x8
Tm1 0.000 0.167 0.500 x4

No. 4
ThU2CrN4: optimized geometry, GGA-PBE.

Properties
Calculated volume   441.0 Å³/cell
ΔE_f (raw)   -1.21 eV per atom

Cell lengths 3.331, 11.684, 11.329 Å; angles 90.00, 90.00, 90.00 degrees
Space group Cmcm (No. 63)
Asymmetric unit:
Th1 0.000 0.102 0.250 x4
U1 0.000 0.366 0.055 x8
Cr1 0.000 0.160 0.750 x4
N1 0.000 0.000 0.000 x4
N2 0.000 0.274 0.622 x8
N3 0.000 0.445 0.250 x4

No. 5
Rb3Ac3SnO8: optimized geometry, GGA-PBE.

Properties
Calculated volume   971.0 Å³/cell
ΔE_f (raw)   -2.33 eV per atom

Cell lengths 7.4795, 7.4795, 20.0405 Å; angles 90.00, 90.00, 120.00 degrees
Space group R-3m (No. 166, hexagonal axes)
Asymmetric unit:
Rb1 0.0000 0.5000 0.0000 x9
Ac1 0.0000 0.5000 0.5000 x9
Sn1 0.0000 0.0000 0.5000 x3
O1 0.0000 0.0000 0.2274 x6
O2 0.0429 0.5214 0.2231 x18

No. 6
ScZn4Ga2: optimized geometry, GGA-PBE.

Properties
Calculated volume   233.6 Å³/cell
Energy relative to the elements   -0.1890 eV/atom

Cell lengths 3.997, 14.798, 3.950 Å; angles 90.00, 90.00, 90.00 degrees
Space group Cmmm (No. 65)
Asymmetric unit:
Sc1 0.000 0.000 0.000 x2
Zn1 0.000 0.185 0.500 x4
Zn2 0.000 0.311 0.000 x4
Ga1 0.000 0.419 0.500 x4

No. 7
TbSmDyTl: optimized geometry, GGA-PBE.

Properties
Calculated volume   472.6 Å³/cell
Energy relative to the elements   -0.0359 eV/atom
ΔE to the lowest computed polymorph   151 meV per atom

Cell lengths 7.789, 7.789, 7.789 Å; angles 90.00, 90.00, 90.00 degrees
Space group F-43m (No. 216)
Asymmetric unit:
Tb1 0.000 0.000 0.000 x4
Sm1 0.250 0.250 0.250 x4
Dy1 0.250 0.250 0.750 x4
Tl1 0.000 0.000 0.500 x4

No. 8
La4GaPCl2: optimized geometry, GGA-PBE.

Properties
Calculated volume   223.9 Å³/cell
ΔE_f (raw)   -1.39 eV per atom

Cell lengths 7.365, 4.322, 7.488 Å; angles 90.00, 110.07, 90.00 degrees
Space group P2/m (No. 10)
Asymmetric unit:
La1 0.231 0.000 0.237 x2
La2 0.240 0.500 0.755 x2
Ga1 0.000 0.000 0.500 x1
P1 0.000 0.500 0.000 x1
Cl1 0.500 0.000 0.000 x1
Cl2 0.500 0.500 0.500 x1

No. 9
MnNbVGaCu: optimized geometry, GGA-PBE.

Properties
Calculated volume   140.1 Å³/cell
Energy relative to the elements   -0.0259 eV/atom
ΔE to the lowest computed polymorph   9 meV per atom

Cell lengths 7.413, 4.270, 5.072 Å; angles 90.00, 119.20, 90.00 degrees
Space group Cm (No. 8)
Asymmetric unit:
Mn1 0.000 0.000 0.000 x2
Nb1 0.185 0.000 0.552 x2
V1 0.381 0.000 0.139 x2
Ga1 0.103 0.500 0.809 x2
Cu1 0.287 0.500 0.357 x2

No. 10
EuGdBi2: optimized geometry, GGA-PBE.

Properties
Calculated volume   126.0 Å³/cell
Energy relative to the elements   -0.7284 eV/atom
ΔE to the lowest computed polymorph   81 meV per atom

Cell lengths 3.845, 3.845, 8.520 Å; angles 90.00, 90.00, 90.00 degrees
Space group P4/mmm (No. 123)
Asymmetric unit:
Eu1 0.000 0.000 0.000 x1
Gd1 0.000 0.000 0.500 x1
Bi1 0.500 0.500 0.261 x2

No. 11
PrGa4Ag: optimized geometry, GGA-PBE.

Properties
Calculated volume   490.6 Å³/cell
Energy relative to the elements   -0.2231 eV/atom
ΔE to the lowest computed polymorph   94 meV per atom

Cell lengths 7.887, 7.887, 7.887 Å; angles 90.00, 90.00, 90.00 degrees
Space group F-43m (No. 216)
Asymmetric unit:
Pr1 0.000 0.000 0.000 x4
Ga1 0.125 0.125 0.625 x16
Ag1 0.250 0.250 0.250 x4

No. 12
Ac2Zn3Cu5: optimized geometry, GGA-PBE.

Properties
Calculated volume   771.1 Å³/cell
Energy relative to the elements   -0.1892 eV/atom

Cell lengths 10.130, 12.444, 6.117 Å; angles 90.00, 90.00, 90.00 degrees
Space group Ibam (No. 72)
Asymmetric unit:
Ac1 0.236 0.127 0.000 x8
Zn1 0.000 0.500 0.250 x4
Zn2 0.104 0.136 0.500 x8
Cu1 0.000 0.000 0.250 x4
Cu2 0.000 0.277 0.250 x8
Cu3 0.145 0.383 0.000 x8

No. 13
TiPd2RhSe: optimized geometry, GGA-PBE.

Properties
Calculated volume   97.7 Å³/cell
ΔE_f (raw)   0.36 eV per atom

Cell lengths 4.573, 4.573, 4.672 Å; angles 90.00, 90.00, 90.00 degrees
Space group P4/mmm (No. 123)
Asymmetric unit:
Ti1 0.000 0.000 0.000 x1
Pd1 0.000 0.500 0.500 x2
Rh1 0.500 0.500 0.000 x1
Se1 0.000 0.000 0.500 x1

No. 14
La2TiHPb: optimized geometry, GGA-PBE.

Properties
E_tot   -5.21 eV per atom
Calculated volume   119.2 Å³/cell

Cell lengths 5.203, 5.203, 4.405 Å; angles 90.00, 90.00, 90.00 degrees
Space group P4/mmm (No. 123)
Asymmetric unit:
La1 0.000 0.500 0.000 x2
Ti1 0.000 0.000 0.500 x1
H1 0.000 0.000 0.000 x1
Pb1 0.500 0.500 0.500 x1

No. 15
AlMoPb: optimized geometry, GGA-PBE.

Properties
Calculated volume   113.3 Å³/cell
Energy relative to the elements   0.3118 eV/atom
ΔE to the lowest computed polymorph   0 meV per atom

Cell lengths 3.457, 3.457, 9.480 Å; angles 90.00, 90.00, 90.00 degrees
Space group I4mm (No. 107)
Asymmetric unit:
Al1 0.000 0.000 0.000 x2
Mo1 0.000 0.000 0.377 x2
Pb1 0.000 0.000 0.694 x2

No. 16
Ge3RhAu: optimized geometry, GGA-PBE.

Properties
Calculated volume   108.8 Å³/cell
Energy relative to the elements   0.2437 eV/atom
ΔE to the lowest computed polymorph   0 meV per atom

Cell lengths 4.774, 4.774, 4.774 Å; angles 90.00, 90.00, 90.00 degrees
Space group Pm-3m (No. 221)
Asymmetric unit:
Ge1 0.000 0.000 0.500 x3
Rh1 0.000 0.000 0.000 x1
Au1 0.500 0.500 0.500 x1

No. 17
Cs2BaCeF8: optimized geometry, GGA-PBE.

Properties
Calculated volume   501.0 Å³/cell
ΔE_f (raw)   -3.48 eV per atom

Cell lengths 6.510, 6.510, 11.821 Å; angles 90.00, 90.00, 90.00 degrees
Space group I-4m2 (No. 119)
Asymmetric unit:
Cs1 0.000 0.000 0.000 x2
Cs2 0.000 0.500 0.250 x2
Ba1 0.000 0.000 0.500 x2
Ce1 0.000 0.500 0.750 x2
F1 0.194 0.284 0.637 x16

No. 18
PrGdSc: optimized geometry, GGA-PBE.

Properties
Calculated volume   185.7 Å³/cell
Energy relative to the elements   0.0562 eV/atom
ΔE to the lowest computed polymorph   0 meV per atom

Cell lengths 3.569, 3.569, 14.580 Å; angles 90.00, 90.00, 90.00 degrees
Space group I4mm (No. 107)
Asymmetric unit:
Pr1 0.000 0.000 0.000 x2
Gd1 0.000 0.000 0.680 x2
Sc1 0.000 0.000 0.339 x2

No. 19
Ce2ZrSn: optimized geometry, GGA-PBE.

Properties
Calculated volume   199.9 Å³/cell
Energy relative to the elements   -0.2652 eV/atom
ΔE to the lowest computed polymorph   109 meV per atom

Cell lengths 4.190, 4.213, 11.490 Å; angles 90.00, 99.82, 90.00 degrees
Space group P2_1/m (No. 11)
Asymmetric unit:
Ce1 0.027 0.250 0.128 x2
Ce2 0.405 0.250 0.880 x2
Zr1 0.294 0.750 0.604 x2
Sn1 0.184 0.750 0.344 x2

No. 20
Nd4DyHo7: optimized geometry, GGA-PBE.

Properties
Calculated volume   808.8 Å³/cell
Energy relative to the elements   0.2694 eV/atom
ΔE to the lowest computed polymorph   181 meV per atom

Cell lengths 12.104, 5.911, 12.820 Å; angles 90.00, 118.14, 90.00 degrees
Space group C2/m (No. 12)
Asymmetric unit:
Nd1 0.140 0.000 0.277 x4
Nd2 0.220 0.500 0.165 x4
Dy1 0.000 0.500 0.500 x2
Ho1 0.000 0.000 0.500 x2
Ho2 0.070 0.500 0.810 x4
Ho3 0.132 0.000 0.994 x4
Ho4 0.212 0.500 0.424 x4

No. 21
BaSn2Pd: optimized geometry, GGA-PBE.

Properties
Calculated volume   429.4 Å³/cell
Energy relative to the elements   -0.2265 eV/atom

Cell lengths 7.544, 7.544, 7.544 Å; angles 90.00, 90.00, 90.00 degrees
Space group Fm-3m (No. 225)
Asymmetric unit:
Ba1 0.000 0.000 0.000 x4
Sn1 0.250 0.250 0.250 x8
Pd1 0.000 0.000 0.500 x4

No. 22
Sr2TcRu: optimized geometry, GGA-PBE.

Properties
Calculated volume   256.7 Å³/cell
Energy relative to the elements   0.1769 eV/atom
ΔE to the lowest computed polymorph   0 meV per atom

Cell lengths 7.197, 4.155, 8.906 Å; angles 90.00, 105.42, 90.00 degrees
Space group Cm (No. 8)
Asymmetric unit:
Sr1 0.000 0.000 0.000 x2
Sr2 0.179 0.000 0.539 x2
Tc1 0.417 0.000 0.251 x2
Ru1 0.263 0.500 0.291 x2

No. 23
Sr3AcRh: optimized geometry, GGA-PBE.

Properties
Calculated volume   208.1 Å³/cell
Energy relative to the elements   -0.0202 eV/atom

Cell lengths 5.926, 5.926, 5.926 Å; angles 90.00, 90.00, 90.00 degrees
Space group Pm-3m (No. 221)
Asymmetric unit:
Sr1 0.000 0.000 0.500 x3
Ac1 0.500 0.500 0.500 x1
Rh1 0.000 0.000 0.000 x1

No. 24
PrDyHoEr3: optimized geometry, GGA-PBE.

Properties
Calculated volume   774.9 Å³/cell
Energy relative to the elements   0.2161 eV/atom

Cell lengths 19.565, 5.583, 7.094 Å; angles 90.00, 90.23, 90.00 degrees
Space group C2/m (No. 12)
Asymmetric unit:
Pr1 0.143 0.000 0.029 x4
Dy1 0.151 0.000 0.452 x4
Ho1 0.055 0.500 0.279 x4
Er1 0.024 0.000 0.730 x4
Er2 0.164 0.500 0.726 x4
Er3 0.221 0.500 0.241 x4

No. 25
SrZrCl2: optimized geometry, GGA-PBE.

Properties
Calculated volume   106.1 Å³/cell
ΔE_f (raw)   -0.87 eV per atom
ΔE to the lowest computed polymorph   256 meV per atom

Cell lengths 3.390, 4.600, 6.805 Å; angles 90.00, 90.00, 90.00 degrees
Space group Pmmm (No. 47)
Asymmetric unit:
Sr1 0.000 0.000 0.000 x1
Zr1 0.500 0.000 0.500 x1
Cl1 0.000 0.500 0.500 x1
Cl2 0.500 0.500 0.000 x1